# LaPm3Y3 | Alexandria | PBE | optimized geometry
data_LaPm3Y3
_chemical_formula_sum 'La2 Pm6 Y6'
_symmetry_space_group_name_H-M 'P 1'
_symmetry_Int_Tables_number 1
_symmetry_space_group_name_Hall 'P 1'
_cell_length_a 9.009
_cell_length_b 9.009
_cell_length_c 9.009
_cell_angle_alpha 58.38
_cell_angle_beta 58.38
_cell_angle_gamma 58.38
loop_
_atom_site_label
_atom_site_fract_x
_atom_site_fract_y
_atom_site_fract_z
Pm1 0.931 0.278 0.431
Pm2 0.431 0.931 0.278
Pm3 0.278 0.431 0.931
Pm4 0.722 0.569 0.069
La1 0.346 0.346 0.346
Y1 0.063 0.286 0.829
Y2 0.937 0.714 0.171
Y3 0.286 0.829 0.063
Y4 0.714 0.171 0.937
Pm5 0.569 0.069 0.722
Y5 0.171 0.937 0.714
Pm6 0.069 0.722 0.569
Y6 0.829 0.063 0.286
La2 0.654 0.654 0.654
# Space group = R-3 (148)
# E_form = 0.21 eV/atom
# Energy above the most stable polymorph in this dataset = 186.9 meV/atom
# Fermi-level density of states = 1.650 states/eV per atom